The following is a PBE calculation of an optimized crystal structure of ZrTi4Os5, from Alexandria.

Cell and atoms, written as CIF:
```
data_ZrTi4Os5
_chemical_formula_sum 'Zr1 Ti4 Os5'
_cell_length_a 3.1253
_cell_length_b 3.1253
_cell_length_c 15.7217
_cell_angle_alpha 90.00
_cell_angle_beta 90.00
_cell_angle_gamma 90.00
_space_group_name_H-M_alt 'P 4/m m m'
_space_group_IT_number 123
_space_group_name_Hall '-P 4 2'
loop_
_atom_site_label
_atom_site_type_symbol
_atom_site_fract_x
_atom_site_fract_y
_atom_site_fract_z
_atom_site_occupancy
Zr1 Zr 0.0000 0.0000 0.0000 1
Ti1 Ti 0.0000 0.0000 0.2068 1
Ti2 Ti 0.0000 0.0000 0.4023 1
Os1 Os 0.5000 0.5000 0.1107 1
Os2 Os 0.5000 0.5000 0.3049 1
Os3 Os 0.5000 0.5000 0.5000 1
```

Total energy ... -10.275 eV/atom
Total magnetic moment ... 0.000 Bohr magnetons per cell
Formation energy ... -14.92 kcal/mol of atoms